The following is a DFT calculation (meta-GGA SCAN) of a PBEsol-optimized structure of H.

```
H
1.0
6.175 0.000 0.000
0.000 5.768 0.000
0.000 0.000 10.405
H
16
direct
0.622 0.946 0.250
0.622 0.552 0.750
0.870 0.752 0.500
0.378 0.448 0.250
0.130 0.248 0.000
0.878 0.446 0.250
0.630 0.252 0.500
0.122 0.948 0.250
0.378 0.054 0.750
0.870 0.752 0.000
0.878 0.052 0.750
0.130 0.248 0.500
0.122 0.554 0.750
0.370 0.748 0.500
0.630 0.252 0.000
0.370 0.748 0.000
```

## Properties
For the density of states at the Fermi level, the calculation gives 0.00 states/eV/cell. The density comes out at 0.07 Mg/m³. The energy is -1.108 eV/atom. The symmetry is Pnma, No. 62.

The following is a DFT calculation (meta-GGA SCAN) of a PBEsol-optimized structure of H.

```
H
1.0
-3.177 -0.901 0.114
-1.062 -2.544 -1.821
-0.862 -2.834 1.464
H
1
direct
0.000 0.000 0.000
```

## Properties
For the density of states at the Fermi level, the calculation gives 0.00 states/eV/cell. The density comes out at 0.07 Mg/m³. The energy is -1.115 eV/atom. The symmetry is Fm-3m, No. 225.

The following is a DFT calculation (meta-GGA SCAN) of a PBEsol-optimized structure of HfHg2H.

```
HfHg2H
1.0
-0.507 0.513 3.728
-4.520 -4.174 1.893
4.100 -3.928 3.033
Hf H Hg
2 2 4
direct
0.000 0.000 0.000
0.750 0.500 0.500
0.500 0.000 0.000
0.250 0.500 0.500
0.375 0.381 0.119
0.875 0.619 0.881
0.244 0.881 0.381
0.506 0.119 0.619
```

## Properties
For the density of states at the Fermi level, the calculation gives 2.53 states/eV/cell. The density comes out at 13.42 Mg/m³. The energy is -50.438 eV/atom. The symmetry is I-42d, No. 122.

The following is a DFT calculation (meta-GGA SCAN) of a PBEsol-optimized structure of Hf2HgH2.

```
Hf2HgH2
1.0
3.666 0.000 0.000
0.000 3.666 0.000
-1.833 -1.833 4.786
H Hf Hg
2 2 1
direct
0.750 0.250 0.500
0.250 0.750 0.500
0.344 0.344 0.687
0.656 0.656 0.313
0.000 0.000 0.000
```

## Properties
For the density of states at the Fermi level, the calculation gives 1.60 states/eV/cell. The density comes out at 14.45 Mg/m³. The energy is -40.480 eV/atom. The symmetry is I4/mmm, No. 139.

The following is a DFT calculation (meta-GGA SCAN) of a PBEsol-optimized structure of Hf3HgH.

```
Hf3HgH
1.0
-3.551 -2.508 -0.080
2.246 -3.239 1.835
-1.118 1.458 3.941
Hf H Hg
3 1 1
direct
0.000 0.500 0.000
0.000 0.000 0.500
0.500 0.000 0.000
0.000 0.000 0.000
0.500 0.500 0.500
```

## Properties
For the density of states at the Fermi level, the calculation gives 1.72 states/eV/cell. The density comes out at 14.89 Mg/m³. The energy is -52.227 eV/atom. The symmetry is Pm-3m, No. 221.

The following is a DFT calculation (meta-GGA SCAN) of a PBEsol-optimized structure of HfHg3H.

```
HfHg3H
1.0
5.496 0.000 0.000
0.000 5.496 0.000
0.000 0.000 5.496
H Hg Hf
1 3 1
direct
0.500 0.500 0.500
0.000 0.000 0.500
0.000 0.500 0.000
0.500 0.000 0.000
0.000 0.000 0.000
```

## Properties
For the density of states at the Fermi level, the calculation gives 3.81 states/eV/cell. The density comes out at 7.81 Mg/m³. The energy is -53.198 eV/atom. The symmetry is Pm-3m, No. 221.

The following is a DFT calculation (meta-GGA SCAN) of a PBEsol-optimized structure of HfHg3H.

```
HfHg3H
1.0
-3.393 2.423 -1.432
-1.091 -3.200 -2.829
-2.594 -1.823 3.063
H Hg Hf
1 3 1
direct
0.000 0.000 0.000
0.000 0.500 0.000
0.000 0.000 0.500
0.500 0.000 0.000
0.500 0.500 0.500
```

## Properties
For the density of states at the Fermi level, the calculation gives 3.14 states/eV/cell. The density comes out at 15.14 Mg/m³. The energy is -53.668 eV/atom. The symmetry is Pm-3m, No. 221.

The following is a DFT calculation (meta-GGA SCAN) of a PBEsol-optimized structure of HfInHgH2.

```
HfInHgH2
1.0
3.919 0.000 0.000
0.000 3.919 0.000
0.000 0.000 5.681
H In Hf Hg
2 1 1 1
direct
0.000 0.500 0.000
0.500 0.000 0.000
0.500 0.500 0.500
0.000 0.000 0.000
0.000 0.000 0.500
```

## Properties
For the density of states at the Fermi level, the calculation gives 1.33 states/eV/cell. The density comes out at 9.44 Mg/m³. The energy is -34.115 eV/atom. The symmetry is P4/mmm, No. 123.